Record 1
# Mn2CrTe | the Alexandria database | PBE | relaxed
# total moment = 8.73 Bohr magnetons per cell
# total DFT energy (no corrections) = -7.42 eV per atom
# uncorrected formation energy = 361 meV/atom
# mass density = 8.774 g cm⁻³
data_Mn2CrTe
_chemical_formula_sum 'Mn4 Cr2 Te2'
_symmetry_space_group_name_H-M 'I -4 m 2'
_symmetry_Int_Tables_number 119
_symmetry_space_group_name_Hall 'I -4 -2'
_cell_length_a 3.8343
_cell_length_b 3.8343
_cell_length_c 7.4524
_cell_angle_alpha 90.00
_cell_angle_beta 90.00
_cell_angle_gamma 90.00
loop_
_atom_site_label
_atom_site_type_symbol
_atom_site_fract_x
_atom_site_fract_y
_atom_site_fract_z
Mn1 Mn 0.0000 0.0000 0.0000
Mn2 Mn 0.0000 0.5000 0.2500
Cr1 Cr 0.0000 0.5000 0.7500
Te1 Te 0.0000 0.0000 0.5000

Record 2
# Mn2CrTe | the Alexandria database | PBE | relaxed
# total moment = 7.97 Bohr magnetons per cell
# total DFT energy (no corrections) = -7.50 eV per atom
# uncorrected formation energy = 281 meV/atom
# mass density = 8.809 g cm⁻³
data_Mn2CrTe
_chemical_formula_sum 'Mn8 Cr4 Te4'
_symmetry_space_group_name_H-M 'F -4 3 m'
_symmetry_Int_Tables_number 216
_symmetry_space_group_name_Hall 'F -4 2 3'
_cell_length_a 6.0210
_cell_length_b 6.0210
_cell_length_c 6.0210
_cell_angle_alpha 90.00
_cell_angle_beta 90.00
_cell_angle_gamma 90.00
loop_
_atom_site_label
_atom_site_type_symbol
_atom_site_fract_x
_atom_site_fract_y
_atom_site_fract_z
Mn1 Mn 0.0000 0.0000 0.0000
Mn2 Mn 0.2500 0.2500 0.2500
Cr1 Cr 0.2500 0.2500 0.7500
Te1 Te 0.0000 0.0000 0.5000

Record 3
# MnCr2Te4 | the Alexandria database | PBE | relaxed
# polymorph energy (0 for the lowest one) = 0 meV per atom
# total moment = 85.06 Bohr magnetons per cell
# total DFT energy (no corrections) = -6.01 eV per atom
# uncorrected formation energy = -152 meV/atom
# mass density = 6.404 g cm⁻³
data_MnCr2Te4
_chemical_formula_sum 'Mn8 Cr16 Te32'
_symmetry_space_group_name_H-M 'F d d 2'
_symmetry_Int_Tables_number 43
_symmetry_space_group_name_Hall 'F 2 -2d'
_cell_length_a 12.1506
_cell_length_b 13.9285
_cell_length_c 8.2037
_cell_angle_alpha 90.00
_cell_angle_beta 90.00
_cell_angle_gamma 90.00
loop_
_atom_site_label
_atom_site_type_symbol
_atom_site_fract_x
_atom_site_fract_y
_atom_site_fract_z
Mn1 Mn 0.0000 0.0000 0.0000
Cr1 Cr 0.0086 0.2438 0.7650
Te1 Te 0.1186 0.3301 0.0172
Te2 Te 0.1230 0.0831 0.2637

> Which value of mass density does entry 2 give?

8.809 g cm⁻³

Repeat the third record exactly.
# MnCr2Te4 | the Alexandria database | PBE | relaxed
# polymorph energy (0 for the lowest one) = 0 meV per atom
# total moment = 85.06 Bohr magnetons per cell
# total DFT energy (no corrections) = -6.01 eV per atom
# uncorrected formation energy = -152 meV/atom
# mass density = 6.404 g cm⁻³
data_MnCr2Te4
_chemical_formula_sum 'Mn8 Cr16 Te32'
_symmetry_space_group_name_H-M 'F d d 2'
_symmetry_Int_Tables_number 43
_symmetry_space_group_name_Hall 'F 2 -2d'
_cell_length_a 12.1506
_cell_length_b 13.9285
_cell_length_c 8.2037
_cell_angle_alpha 90.00
_cell_angle_beta 90.00
_cell_angle_gamma 90.00
loop_
_atom_site_label
_atom_site_type_symbol
_atom_site_fract_x
_atom_site_fract_y
_atom_site_fract_z
Mn1 Mn 0.0000 0.0000 0.0000
Cr1 Cr 0.0086 0.2438 0.7650
Te1 Te 0.1186 0.3301 0.0172
Te2 Te 0.1230 0.0831 0.2637

> Which formula does entry 2 have?

Mn2CrTe

> Which of these has the highest uncorrected formation energy?

number 1